Record 1
DFT (meta-GGA SCAN) results for NaMn2O4 at its PBEsol-relaxed geometry.

```
NaMn2O4
1.0
1.458 -4.798 0.000
1.458 4.798 0.000
0.000 0.000 9.624
Na Mn O
2 4 8
Direct
0.110 0.890 0.750
0.890 0.110 0.250
0.364 0.636 0.572
0.364 0.636 0.928
0.636 0.364 0.072
0.636 0.364 0.428
0.000 0.000 0.000
0.000 0.000 0.500
0.263 0.737 0.104
0.263 0.737 0.396
0.433 0.567 0.750
0.567 0.433 0.250
0.737 0.263 0.604
0.737 0.263 0.896
```

Summary:
total magnetic moment = 7.0 μB per formula unit
distance to the lowest polymorph of the same formula = 0.082 eV/atom
DFT total energy = -80.22 eV per formula unit
uncorrected formation energy = -14.57 eV per formula unit
SG = Cmcm (63)

---

Record 2
DFT (meta-GGA SCAN) results for NaMn2O4 at its PBEsol-relaxed geometry.

```
NaMn2O4
1.0
4.829 0.000 0.000
0.000 2.845 0.000
-1.672 0.000 5.550
Na Mn O
1 2 4
Direct
0.000 0.000 0.000
0.000 0.500 0.500
0.500 0.000 0.500
0.226 0.000 0.682
0.269 0.500 0.313
0.731 0.500 0.687
0.774 0.000 0.318
```

Summary:
total magnetic moment = 5.0 μB per formula unit
distance to the lowest polymorph of the same formula = 0.032 eV/atom
DFT total energy = -80.57 eV per formula unit
uncorrected formation energy = -14.92 eV per formula unit
SG = P2/m (10)

---

Record 3
DFT (meta-GGA SCAN) results for Na2Mn2O3 at its PBEsol-relaxed geometry.

```
Na2Mn2O3
1.0
6.326 0.000 0.000
0.000 6.326 0.000
0.000 0.000 9.412
Na Mn O
8 8 12
Direct
0.028 0.234 0.362
0.234 0.028 0.638
0.266 0.528 0.112
0.472 0.734 0.388
0.528 0.266 0.888
0.734 0.472 0.612
0.766 0.972 0.138
0.972 0.766 0.862
0.042 0.261 0.884
0.239 0.542 0.634
0.261 0.042 0.116
0.458 0.761 0.866
0.542 0.239 0.366
0.739 0.958 0.616
0.761 0.458 0.134
0.958 0.739 0.384
0.008 0.256 0.103
0.180 0.820 0.250
0.244 0.508 0.853
0.256 0.008 0.897
0.320 0.320 0.500
0.492 0.756 0.647
0.508 0.244 0.147
0.680 0.680 0.000
0.744 0.992 0.397
0.756 0.492 0.353
0.820 0.180 0.750
0.992 0.744 0.603
```

Summary:
total magnetic moment = 10.0 μB per formula unit
distance to the lowest polymorph of the same formula = 0.000 eV/atom
DFT total energy = -75.89 eV per formula unit
uncorrected formation energy = -12.26 eV per formula unit
SG = P4_32_12 (96)